The following is a PBE calculation of a relaxed Pm3Ho5Sb8 crystal, from the Alexandria database.

a b c (Å): 8.829 8.829 8.829
angles (deg): 60.04 60.04 60.04
Sites, in units of the cell vectors:
Pm1 0.000 0.500 0.500
Pm2 0.500 0.000 0.500
Pm3 0.500 0.500 0.000
Ho1 0.000 0.000 0.000
Ho2 0.000 0.000 0.500
Ho3 0.000 0.500 0.000
Ho4 0.500 0.000 0.000
Ho5 0.500 0.500 0.500
Sb1 0.244 0.750 0.750
Sb2 0.247 0.247 0.247
Sb3 0.250 0.250 0.756
Sb4 0.250 0.756 0.250
Sb5 0.750 0.244 0.750
Sb6 0.750 0.750 0.244
Sb7 0.753 0.753 0.753
Sb8 0.756 0.250 0.250

Computed properties:
ρ = 7614 kg/m³
E_tot = -5.5198 eV per atom
ΔE_f (raw) = -1.137 eV per atom

***

The following is a PBE calculation of a relaxed PrEuMg4 crystal, from the Alexandria database.

a b c (Å): 6.213 6.213 6.213
angles (deg): 60.00 60.00 60.00
Sites, in units of the cell vectors:
Pr1 0.000 0.000 0.000
Eu1 0.250 0.250 0.250
Mg1 0.123 0.626 0.626
Mg2 0.626 0.123 0.626
Mg3 0.626 0.626 0.123
Mg4 0.626 0.626 0.626

Computed properties:
ρ = 3819 kg/m³
E_tot = -3.6796 eV per atom
DFT formation energy = -0.1076 eV/atom

***

The following is a PBE calculation of a relaxed Cs2CuTc crystal, from the Alexandria database.

a b c (Å): 5.755 5.755 5.755
angles (deg): 60.00 60.00 60.00
Sites, in units of the cell vectors:
Cs1 0.250 0.250 0.250
Cs2 0.750 0.750 0.750
Cu1 0.000 0.000 0.000
Tc1 0.500 0.500 0.500

Computed properties:
ρ = 5266 kg/m³
E_tot = -2.4917 eV per atom
DFT formation energy = 1.5506 eV/atom

***

The following is a PBE calculation of a relaxed Tl2PtCl crystal, from the Alexandria database.

a b c (Å): 3.513 3.513 7.685
angles (deg): 90.00 90.00 90.44
Sites, in units of the cell vectors:
Tl1 0.000 0.000 0.218
Tl2 0.000 0.000 0.782
Pt1 0.500 0.500 0.000
Cl1 0.500 0.500 0.500

Computed properties:
ρ = 11194 kg/m³
E_tot = -3.3327 eV per atom
energy above the lowest structure with this stoichiometry = 14.4 kJ/mol of atoms
ΔE_f (raw) = -0.178 eV per atom

***

The following is a PBE calculation of a relaxed AcP2Pb crystal, from the Alexandria database.

a b c (Å): 7.271 7.271 7.271
angles (deg): 35.16 35.16 35.16
Sites, in units of the cell vectors:
Ac1 0.000 0.000 0.000
P1 0.250 0.250 0.250
P2 0.750 0.750 0.750
Pb1 0.500 0.500 0.500

Computed properties:
ρ = 7238 kg/m³
E_tot = -5.1697 eV per atom
DFT formation energy = -0.5106 eV/atom
energy above the lowest structure with this stoichiometry = 0.0 kJ/mol of atoms

***

The following is a PBE calculation of a relaxed Zr2PbCl crystal, from the Alexandria database.

a b c (Å): 3.266 3.617 7.212
angles (deg): 90.00 90.00 90.00
Sites, in units of the cell vectors:
Zr1 0.000 0.000 0.237
Zr2 0.000 0.000 0.763
Pb1 0.500 0.500 0.500
Cl1 0.500 0.500 0.000

Computed properties:
ρ = 8286 kg/m³
E_tot = -5.8881 eV per atom
energy above the lowest structure with this stoichiometry = 27.6 kJ/mol of atoms
ΔE_f (raw) = -0.225 eV per atom

***

The following is a PBE calculation of a relaxed Rb2V3Br10 crystal, from the Alexandria database.

a b c (Å): 12.883 12.883 10.265
angles (deg): 110.44 110.44 34.52
Sites, in units of the cell vectors:
Rb1 0.126 0.126 0.238
Rb2 0.232 0.232 0.810
Rb3 0.768 0.768 0.190
Rb4 0.874 0.874 0.762
V1 0.248 0.752 0.500
V2 0.325 0.325 0.475
V3 0.424 0.424 0.027
V4 0.576 0.576 0.973
V5 0.675 0.675 0.525
V6 0.752 0.248 0.500
Br1 0.000 0.500 0.500
Br2 0.018 0.018 0.679
Br3 0.119 0.604 0.046
Br4 0.137 0.644 0.465
Br5 0.270 0.270 0.221
Br6 0.278 0.722 0.000
Br7 0.356 0.863 0.535
Br8 0.368 0.368 0.753
Br9 0.396 0.881 0.954
Br10 0.483 0.483 0.315
Br11 0.500 0.000 0.500
Br12 0.517 0.517 0.685
Br13 0.604 0.119 0.046
Br14 0.632 0.632 0.247
Br15 0.644 0.137 0.465
Br16 0.722 0.278 0.000
Br17 0.730 0.730 0.779
Br18 0.863 0.356 0.535
Br19 0.881 0.396 0.954
Br20 0.982 0.982 0.321

Computed properties:
ρ = 4149 kg/m³
E_tot = -4.1261 eV per atom
ΔE_f (raw) = -1.058 eV per atom

***

The following is a PBE calculation of a relaxed NaTlIn2Bi crystal, from the Alexandria database.

a b c (Å): 8.589 8.589 6.232
angles (deg): 90.00 90.00 135.97
Sites, in units of the cell vectors:
Na1 0.248 0.752 0.750
Na2 0.752 0.248 0.250
Tl1 0.147 0.853 0.250
Tl2 0.853 0.147 0.750
In1 0.248 0.248 0.000
In2 0.248 0.248 0.500
In3 0.752 0.752 0.000
In4 0.752 0.752 0.500
Bi1 0.352 0.648 0.250
Bi2 0.648 0.352 0.750

Computed properties:
ρ = 6921 kg/m³
E_tot = -2.6404 eV per atom
DFT formation energy = -0.0318 eV/atom